LuNbPdRu | GGA-PBE | optimized geometry

Lattice parameters (Å, degrees): 4.649 4.649 4.649 60.00 60.00 60.00
Positions (direct):
Lu  0.000  0.000  0.000
Nb  0.500  0.500  0.500
Pd  0.750  0.750  0.750
Ru  0.250  0.250  0.250

Calculated values
Density of states at the Fermi level   3.56 states/eV per cell
SG   No. 216
ΔH_f (0 K)   -0.390 eV/atom
Magnetic moment   0.00 μB/f.u.
E   -7.654 eV per atom

***

SmCoSi2 | GGA-PBE | optimized geometry

Lattice parameters (Å, degrees): 4.103 4.032 8.418 90.00 104.09 90.00
Positions (direct):
Sm  0.107  0.250  0.215
Sm  0.893  0.750  0.785
Co  0.318  0.250  0.639
Co  0.682  0.750  0.361
Si  0.251  0.750  0.500
Si  0.457  0.250  0.914
Si  0.543  0.750  0.086
Si  0.749  0.250  0.500

Calculated values
Formation energy without anion corrections   -774 meV/atom
Density of states at the Fermi level   5.00 states/eV per cell
SG   No. 11
Magnetic moment   0.00 μB/f.u.
E   -6.442 eV per atom

***

MnTcBi2 | GGA-PBE | optimized geometry

Lattice parameters (Å, degrees): 4.738 4.738 4.738 60.00 60.00 60.00
Positions (direct):
Mn  0.000  0.000  0.000
Tc  0.500  0.500  0.500
Bi  0.250  0.250  0.250
Bi  0.750  0.750  0.750

Calculated values
Density of states at the Fermi level   3.18 states/eV per cell
SG   No. 225
ΔH_f (0 K)   0.756 eV/atom
Magnetic moment   0.00 μB/f.u.
E   -6.068 eV per atom

***

TbErScAg | GGA-PBE | optimized geometry

Lattice parameters (Å, degrees): 3.505 3.505 8.483 90.00 90.00 90.00
Positions (direct):
Tb  0.000  0.000  0.000
Er  0.000  0.000  0.542
Sc  0.500  0.500  0.273
Ag  0.500  0.500  0.765

Calculated values
Density of states at the Fermi level   5.99 states/eV per cell
SG   No. 99
ΔH_f (0 K)   -0.114 eV/atom
Magnetic moment   0.00 μB/f.u.
E   -4.708 eV per atom

***

MgAl2C | GGA-PBE | optimized geometry

Lattice parameters (Å, degrees): 5.880 5.880 5.880 119.03 119.03 91.70
Positions (direct):
Mg  0.000  0.000  0.000
Mg  0.750  0.250  0.500
Al  0.252  0.625  0.127
Al  0.375  0.502  0.627
Al  0.498  0.125  0.873
Al  0.875  0.748  0.373
C  0.250  0.750  0.500
C  0.500  0.500  0.000

Calculated values
Density of states at the Fermi level   0.11 states/eV per cell
SG   No. 122
ΔH_f (0 K)   0.368 eV/atom
Magnetic moment   0.00 μB/f.u.
E   -4.207 eV per atom

***

LaTh2Tl | GGA-PBE | optimized geometry

Lattice parameters (Å, degrees): 4.957 4.957 5.073 90.00 90.00 90.00
Positions (direct):
La  0.000  0.000  0.000
Th  0.000  0.500  0.500
Th  0.500  0.000  0.500
Tl  0.500  0.500  0.000

Calculated values
Density of states at the Fermi level   4.21 states/eV per cell
SG   No. 123
ΔH_f (0 K)   -0.094 eV/atom
Magnetic moment   0.00 μB/f.u.
E   -5.627 eV per atom

***

Pr12Dy6Al | GGA-PBE | optimized geometry

Lattice parameters (Å, degrees): 8.667 8.667 8.667 88.56 88.56 88.56
Positions (direct):
Pr  0.036  0.288  0.934
Pr  0.066  0.964  0.712
Pr  0.137  0.327  0.480
Pr  0.288  0.934  0.036
Pr  0.327  0.480  0.137
Pr  0.480  0.137  0.327
Pr  0.520  0.863  0.673
Pr  0.673  0.520  0.863
Pr  0.712  0.066  0.964
Pr  0.863  0.673  0.520
Pr  0.934  0.036  0.288
Pr  0.964  0.712  0.066
Dy  0.225  0.600  0.755
Dy  0.245  0.775  0.400
Dy  0.400  0.245  0.775
Dy  0.600  0.755  0.225
Dy  0.755  0.225  0.600
Dy  0.775  0.400  0.245
Al  0.500  0.500  0.500

Calculated values
Density of states at the Fermi level   30.41 states/eV per cell
SG   No. 148
ΔH_f (0 K)   0.079 eV/atom
Magnetic moment   0.00 μB/f.u.
E   -4.590 eV per atom

***

HfTa2BeTe | GGA-PBE | optimized geometry

Lattice parameters (Å, degrees): 5.032 5.032 5.265 90.00 90.00 90.00
Positions (direct):
Hf  0.000  0.000  0.000
Ta  0.000  0.500  0.000
Ta  0.500  0.000  0.000
Be  0.500  0.500  0.500
Te  0.000  0.000  0.500

Calculated values
Formation energy without anion corrections   2011 meV/atom
Density of states at the Fermi level   5.99 states/eV per cell
SG   No. 123
Magnetic moment   0.00 μB/f.u.
E   -6.094 eV per atom

***

LiY2GeO | GGA-PBE | optimized geometry

Lattice parameters (Å, degrees): 4.701 4.701 4.074 90.00 90.00 90.00
Positions (direct):
Li  0.000  0.000  0.000
Y  0.000  0.500  0.500
Y  0.500  0.000  0.500
Ge  0.500  0.500  0.000
O  0.000  0.000  0.500

Calculated values
Formation energy without anion corrections   -1572 meV/atom
Density of states at the Fermi level   2.00 states/eV per cell
SG   No. 123
Magnetic moment   0.00 μB/f.u.
E   -6.455 eV per atom

***

CrTeH2 | GGA-PBE | optimized geometry

Lattice parameters (Å, degrees): 4.114 4.114 4.114 60.00 60.00 60.00
Positions (direct):
Cr  0.000  0.000  0.000
Te  0.500  0.500  0.500
H  0.250  0.250  0.250
H  0.750  0.750  0.750

Calculated values
Density of states at the Fermi level   0.72 states/eV per cell
SG   No. 225
Magnetic moment   3.97 μB/f.u.
E   -4.092 eV per atom

***

MgScCu10 | GGA-PBE | optimized geometry

Lattice parameters (Å, degrees): 4.093 4.895 8.463 90.00 90.00 90.00
Positions (direct):
Mg  0.000  0.000  0.000
Sc  0.000  0.500  0.500
Cu  0.000  0.000  0.330
Cu  0.000  0.000  0.670
Cu  0.000  0.500  0.163
Cu  0.000  0.500  0.837
Cu  0.500  0.000  0.500
Cu  0.500  0.252  0.252
Cu  0.500  0.252  0.748
Cu  0.500  0.500  0.000
Cu  0.500  0.748  0.252
Cu  0.500  0.748  0.748

Calculated values
Density of states at the Fermi level   7.52 states/eV per cell
SG   No. 47
ΔH_f (0 K)   -0.070 eV/atom
Magnetic moment   0.00 μB/f.u.
E   -4.144 eV per atom

***

NbI | GGA-PBE | optimized geometry

Lattice parameters (Å, degrees): 8.866 8.866 8.866 92.18 92.18 157.49
Positions (direct):
Nb  0.188  0.696  0.885
Nb  0.304  0.188  0.492
Nb  0.696  0.812  0.508
Nb  0.812  0.304  0.115
I  0.275  0.481  0.756
I  0.481  0.725  0.206
I  0.519  0.275  0.794
I  0.725  0.519  0.244

Calculated values
Formation energy without anion corrections   319 meV/atom
Density of states at the Fermi level   1.53 states/eV per cell
SG   No. 87
Magnetic moment   0.00 μB/f.u.
E   -5.491 eV per atom